Compound: TaCuW2
Source: Alexandria
Functional: PBE
Structure: relaxed

## Properties
* volume: 63 Å³ per cell
* DFT formation energy: 0.263 eV/atom
* DOS(E_F): 2.8 states/eV per cell
* excess energy over the best structure of this formula in the dataset: 12.6 kJ/mol of atoms

Unit cell a=2.7062 b=2.7062 c=8.6286 alpha=90.00 beta=90.00 gamma=90.00
Atoms (fractional coordinates):
Ta  0.0000  0.0000  0.0000
Cu  0.5000  0.5000  0.7632
W  0.0000  0.0000  0.5374
W  0.5000  0.5000  0.2717

Compound: TaCu2W2
Source: Alexandria
Functional: PBE
Structure: relaxed

## Properties
* volume: 149 Å³ per cell
* DFT formation energy: 0.403 eV/atom
* DOS(E_F): 9.1 states/eV per cell

Unit cell a=6.6760 b=6.6760 c=3.3447 alpha=90.00 beta=90.00 gamma=90.00
Atoms (fractional coordinates):
Ta  0.0000  0.0000  0.0000
Ta  0.5000  0.5000  0.0000
Cu  0.1238  0.3762  0.0000
Cu  0.3762  0.8762  0.0000
Cu  0.6238  0.1238  0.0000
Cu  0.8762  0.6238  0.0000
W  0.1736  0.6736  0.5000
W  0.3264  0.1736  0.5000
W  0.6736  0.8264  0.5000
W  0.8264  0.3264  0.5000

Compound: TaCuW2
Source: Alexandria
Functional: PBE
Structure: relaxed

## Properties
* volume: 64 Å³ per cell
* DFT formation energy: 0.212 eV/atom
* DOS(E_F): 3.3 states/eV per cell
* excess energy over the best structure of this formula in the dataset: 7.7 kJ/mol of atoms

Unit cell a=2.7043 b=4.5033 c=5.2915 alpha=90.00 beta=98.91 gamma=90.00
Atoms (fractional coordinates):
Ta  0.0000  0.0000  0.0000
Cu  0.3062  0.5000  0.7633
W  0.4857  0.0000  0.4980
W  0.7439  0.5000  0.2683

Compound: TaCuW2
Source: Alexandria
Functional: PBE
Structure: relaxed

## Properties
* volume: 64 Å³ per cell
* DFT formation energy: 0.363 eV/atom
* DOS(E_F): 3.3 states/eV per cell
* excess energy over the best structure of this formula in the dataset: 22.2 kJ/mol of atoms

Unit cell a=2.6414 b=4.3099 c=5.6315 alpha=90.00 beta=90.00 gamma=90.00
Atoms (fractional coordinates):
Ta  0.0000  0.0000  0.0000
Cu  0.0000  0.0000  0.5000
W  0.5000  0.5000  0.2592
W  0.5000  0.5000  0.7408

Compound: TaCuW2
Source: Alexandria
Functional: PBE
Structure: relaxed

## Properties
* volume: 194 Å³ per cell
* DFT formation energy: 0.421 eV/atom
* DOS(E_F): 13.3 states/eV per cell
* excess energy over the best structure of this formula in the dataset: 27.8 kJ/mol of atoms

Unit cell a=2.8000 b=2.8000 c=28.5959 alpha=90.00 beta=90.00 gamma=120.00
Atoms (fractional coordinates):
Ta  0.0000  0.0000  0.0000
Ta  0.3333  0.6667  0.6667
Ta  0.6667  0.3333  0.3333
Cu  0.0000  0.0000  0.5000
Cu  0.3333  0.6667  0.1667
Cu  0.6667  0.3333  0.8333
W  0.0000  0.0000  0.2447
W  0.0000  0.0000  0.7553
W  0.3333  0.6667  0.4219
W  0.3333  0.6667  0.9114
W  0.6667  0.3333  0.0886
W  0.6667  0.3333  0.5781

Compound: TaCuW2
Source: Alexandria
Functional: PBE
Structure: relaxed

## Properties
* volume: 127 Å³ per cell
* DFT formation energy: 0.244 eV/atom
* DOS(E_F): 4.8 states/eV per cell
* excess energy over the best structure of this formula in the dataset: 10.7 kJ/mol of atoms

Unit cell a=3.4131 b=4.4106 c=8.4361 alpha=90.00 beta=90.00 gamma=90.00
Atoms (fractional coordinates):
Ta  0.0000  0.0000  0.0000
Ta  0.5000  0.5000  0.5000
Cu  0.0000  0.5000  0.2440
Cu  0.5000  0.0000  0.7440
W  0.0000  0.0000  0.4919
W  0.0000  0.5000  0.7519
W  0.5000  0.0000  0.2519
W  0.5000  0.5000  0.9919